1:
# BTe2Cl, optimized geometry, DFT PBE
# DOS(E_F), states/eV/f.u.: 2.25
# ρ, g cm⁻³: 6.12
data_BTe2Cl
_chemical_formula_sum 'B4 Te8 Cl4'
_space_group_name_H-M_alt 'F m -3 m'
_space_group_IT_number 225
_space_group_name_Hall '-F 4 2 3'
_cell_length_a 6.891
_cell_length_b 6.891
_cell_length_c 6.891
_cell_angle_alpha 90.00
_cell_angle_beta 90.00
_cell_angle_gamma 90.00
loop_
_atom_site_label
_atom_site_type_symbol
_atom_site_fract_x
_atom_site_fract_y
_atom_site_fract_z
_atom_site_occupancy
B1 B 0.000 0.000 0.000 1
Te1 Te 0.250 0.250 0.250 1
Cl1 Cl 0.000 0.000 0.500 1

=====

2:
# BTe2Cl, optimized geometry, DFT PBE
# DOS(E_F), states/eV/f.u.: 4.29
# ρ, g cm⁻³: 4.89
data_BTe2Cl
_chemical_formula_sum 'B4 Te8 Cl4'
_space_group_name_H-M_alt 'I -4 2 d'
_space_group_IT_number 122
_space_group_name_Hall 'I -4 2bw'
_cell_length_a 6.846
_cell_length_b 6.846
_cell_length_c 8.740
_cell_angle_alpha 90.00
_cell_angle_beta 90.00
_cell_angle_gamma 90.00
loop_
_atom_site_label
_atom_site_type_symbol
_atom_site_fract_x
_atom_site_fract_y
_atom_site_fract_z
_atom_site_occupancy
B1 B 0.000 0.000 0.000 1
Te1 Te 0.157 0.250 0.125 1
Cl1 Cl 0.000 0.000 0.500 1

=====

3:
# BTe2Cl, optimized geometry, DFT PBE
# DOS(E_F), states/eV/f.u.: 2.73
# ρ, g cm⁻³: 4.41
data_BTe2Cl
_chemical_formula_sum 'B3 Te6 Cl3'
_space_group_name_H-M_alt 'R -3 m'
_space_group_IT_number 166
_space_group_name_Hall '-R 3 2"'
_cell_length_a 3.8208
_cell_length_b 3.8208
_cell_length_c 26.9462
_cell_angle_alpha 90.00
_cell_angle_beta 90.00
_cell_angle_gamma 120.00
loop_
_atom_site_label
_atom_site_type_symbol
_atom_site_fract_x
_atom_site_fract_y
_atom_site_fract_z
_atom_site_occupancy
B1 B 0.0000 0.0000 0.0000 1
Te1 Te 0.0000 0.0000 0.0760 1
Cl1 Cl 0.0000 0.0000 0.5000 1

=====

4:
# BTe2Cl, optimized geometry, DFT PBE
# DOS(E_F), states/eV/f.u.: 2.33
# ρ, g cm⁻³: 5.38
data_BTe2Cl
_chemical_formula_sum 'B3 Te6 Cl3'
_space_group_name_H-M_alt 'R -3 m'
_space_group_IT_number 166
_space_group_name_Hall '-R 3 2"'
_cell_length_a 3.5833
_cell_length_b 3.5833
_cell_length_c 25.1017
_cell_angle_alpha 90.00
_cell_angle_beta 90.00
_cell_angle_gamma 120.00
loop_
_atom_site_label
_atom_site_type_symbol
_atom_site_fract_x
_atom_site_fract_y
_atom_site_fract_z
_atom_site_occupancy
B1 B 0.0000 0.0000 0.0000 1
Te1 Te 0.0000 0.0000 0.3911 1
Cl1 Cl 0.0000 0.0000 0.5000 1

=====

Pick 2: it beats the second-best structure by 113 meV/atom.

=====

1:
# B3TeCl, optimized geometry, DFT PBE
# DOS(E_F), states/eV/f.u.: 7.00
# ρ, g cm⁻³: 3.24
data_B3TeCl
_chemical_formula_sum 'B3 Te1 Cl1'
_space_group_name_H-M_alt 'P m -3 m'
_space_group_IT_number 221
_space_group_name_Hall '-P 4 2 3'
_cell_length_a 4.644
_cell_length_b 4.644
_cell_length_c 4.644
_cell_angle_alpha 90.00
_cell_angle_beta 90.00
_cell_angle_gamma 90.00
loop_
_atom_site_label
_atom_site_type_symbol
_atom_site_fract_x
_atom_site_fract_y
_atom_site_fract_z
_atom_site_occupancy
B1 B 0.000 0.000 0.500 1
Te1 Te 0.000 0.000 0.000 1
Cl1 Cl 0.500 0.500 0.500 1

=====

2:
# B3TeCl, optimized geometry, DFT PBE
# DOS(E_F), states/eV/f.u.: 1.81
# ρ, g cm⁻³: 4.57
data_B3TeCl
_chemical_formula_sum 'B3 Te1 Cl1'
_space_group_name_H-M_alt 'P m -3 m'
_space_group_IT_number 221
_space_group_name_Hall '-P 4 2 3'
_cell_length_a 4.140
_cell_length_b 4.140
_cell_length_c 4.140
_cell_angle_alpha 90.00
_cell_angle_beta 90.00
_cell_angle_gamma 90.00
loop_
_atom_site_label
_atom_site_type_symbol
_atom_site_fract_x
_atom_site_fract_y
_atom_site_fract_z
_atom_site_occupancy
B1 B 0.000 0.000 0.500 1
Te1 Te 0.500 0.500 0.500 1
Cl1 Cl 0.000 0.000 0.000 1

=====

Pick 1: it beats the second-best structure by 26 meV/atom.

=====

1:
# Ti2BCl2, optimized geometry, DFT PBE
# DOS(E_F), states/eV/f.u.: 2.47
# ρ, g cm⁻³: 3.17
data_Ti2BCl2
_chemical_formula_sum 'Ti4 B2 Cl4'
_space_group_name_H-M_alt 'I 4/m m m'
_space_group_IT_number 139
_space_group_name_Hall '-I 4 2'
_cell_length_a 3.810
_cell_length_b 3.810
_cell_length_c 12.820
_cell_angle_alpha 90.00
_cell_angle_beta 90.00
_cell_angle_gamma 90.00
loop_
_atom_site_label
_atom_site_type_symbol
_atom_site_fract_x
_atom_site_fract_y
_atom_site_fract_z
_atom_site_occupancy
Ti1 Ti 0.000 0.500 0.250 1
B1 B 0.000 0.000 0.000 1
Cl1 Cl 0.000 0.000 0.376 1

=====

2:
# Ti2BCl2, optimized geometry, DFT PBE
# DOS(E_F), states/eV/f.u.: 4.75
# ρ, g cm⁻³: 3.97
data_Ti2BCl2
_chemical_formula_sum 'Ti4 B2 Cl4'
_space_group_name_H-M_alt 'P 4/m b m'
_space_group_IT_number 127
_space_group_name_Hall '-P 4 2ab'
_cell_length_a 7.210
_cell_length_b 7.210
_cell_length_c 2.852
_cell_angle_alpha 90.00
_cell_angle_beta 90.00
_cell_angle_gamma 90.00
loop_
_atom_site_label
_atom_site_type_symbol
_atom_site_fract_x
_atom_site_fract_y
_atom_site_fract_z
_atom_site_occupancy
Ti1 Ti 0.174 0.326 0.000 1
B1 B 0.000 0.000 0.500 1
Cl1 Cl 0.131 0.631 0.500 1

=====

Pick 2: it beats the second-best structure by 154 meV/atom.

=====

1:
# TiB2Cl, optimized geometry, DFT PBE
# DOS(E_F), states/eV/f.u.: 5.86
# ρ, g cm⁻³: 3.45
data_TiB2Cl
_chemical_formula_sum 'Ti4 B8 Cl4'
_space_group_name_H-M_alt 'F m -3 m'
_space_group_IT_number 225
_space_group_name_Hall '-F 4 2 3'
_cell_length_a 5.867
_cell_length_b 5.867
_cell_length_c 5.867
_cell_angle_alpha 90.00
_cell_angle_beta 90.00
_cell_angle_gamma 90.00
loop_
_atom_site_label
_atom_site_type_symbol
_atom_site_fract_x
_atom_site_fract_y
_atom_site_fract_z
_atom_site_occupancy
Ti1 Ti 0.000 0.000 0.000 1
B1 B 0.250 0.250 0.250 1
Cl1 Cl 0.000 0.000 0.500 1

=====

2:
# TiB2Cl, optimized geometry, DFT PBE
# DOS(E_F), states/eV/f.u.: 2.12
# ρ, g cm⁻³: 3.37
data_TiB2Cl
_chemical_formula_sum 'Ti4 B8 Cl4'
_space_group_name_H-M_alt 'I -4 2 d'
_space_group_IT_number 122
_space_group_name_Hall 'I -4 2bw'
_cell_length_a 5.475
_cell_length_b 5.475
_cell_length_c 6.908
_cell_angle_alpha 90.00
_cell_angle_beta 90.00
_cell_angle_gamma 90.00
loop_
_atom_site_label
_atom_site_type_symbol
_atom_site_fract_x
_atom_site_fract_y
_atom_site_fract_z
_atom_site_occupancy
Ti1 Ti 0.000 0.000 0.000 1
B1 B 0.206 0.750 0.625 1
Cl1 Cl 0.000 0.000 0.500 1

=====

Pick 2: it beats the second-best structure by 419 meV/atom.